A relaxed BeNiOs3 crystal. Source: the Alexandria database, functional GGA-PBE.

Calculated values
Excess energy over the best structure of this formula in the dataset, eV/atom: 1.272
Raw total energy, eV per cell: -32.3
Formation enthalpy at 0 K, eV per atom: 2.183
Magnetic moment, μB per atom: 0.5363

Structure (extended XYZ):
```
5
Lattice="-2.856 1.289 -3.084 2.423 -1.996 -3.078 -2.303 -3.699 0.586" Properties=species:S:1:pos:R:3 pbc="T T T"
Os -1.428 0.644 -1.542
Os 1.212 -0.998 -1.539
Os -1.151 -1.850 0.293
Ni 0.000 0.000 0.000
Be -1.368 -2.203 -2.788
```